1.
A relaxed structure of CaMg3W, computed with PBE-GGA.

Results
DFT formation energy ... 864 meV per atom
Raw total energy ... -3.08 eV per atom
Size of the total moment ... 1.5 Bohr magnetons per cell

abc: 5.2448 5.2448 5.2448
angles: 90.00 90.00 90.00
Space group Pm-3m (No. 221)
Inequivalent atoms, fractional coordinates:
1 Ca 0.0000 0.0000 0.0000 [1 per cell]
2 Mg 0.0000 0.5000 0.5000 [3 per cell]
3 W 0.5000 0.5000 0.5000 [1 per cell]

2.
A relaxed structure of La2SmYH, computed with PBE-GGA.

Results
Raw total energy ... -5.05 eV per atom
Size of the total moment ... 0.0 Bohr magnetons per cell

abc: 5.2232 5.2232 5.0939
angles: 90.00 90.00 90.00
Space group P4/mmm (No. 123)
Inequivalent atoms, fractional coordinates:
1 La 0.0000 0.5000 0.0000 [2 per cell]
2 Sm 0.0000 0.0000 0.5000 [1 per cell]
3 Y 0.5000 0.5000 0.5000 [1 per cell]
4 H 0.5000 0.5000 0.0000 [1 per cell]

3.
A relaxed structure of Sb2PAu, computed with PBE-GGA.

Results
Raw total energy ... -4.21 eV per atom
Size of the total moment ... 0.0 Bohr magnetons per cell

abc: 12.0229 3.8296 4.3500
angles: 90.00 110.20 90.00
Space group Cm (No. 8)
Inequivalent atoms, fractional coordinates:
1 Sb 0.0000 0.0000 0.0000 [2 per cell]
2 Sb 0.2295 0.5000 0.6694 [2 per cell]
3 P 0.2559 0.0000 0.2946 [2 per cell]
4 Au 0.4816 0.0000 0.4812 [2 per cell]

4.
A relaxed structure of SrZn2Ru, computed with PBE-GGA.

Results
DFT formation energy ... -55 meV per atom
Raw total energy ... -3.43 eV per atom
Size of the total moment ... 0.0 Bohr magnetons per cell

abc: 4.3913 4.3913 16.2734
angles: 90.00 90.00 120.00
Space group R3m (No. 160, hexagonal axes)
Inequivalent atoms, fractional coordinates:
1 Sr 0.0000 0.0000 0.0000 [3 per cell]
2 Zn 0.0000 0.0000 0.1885 [3 per cell]
3 Zn 0.0000 0.0000 0.4898 [3 per cell]
4 Ru 0.0000 0.0000 0.8103 [3 per cell]

5.
A relaxed structure of TbPmHo2, computed with PBE-GGA.

Results
DFT formation energy ... 130 meV per atom
Raw total energy ... -4.50 eV per atom
Size of the total moment ... 0.0 Bohr magnetons per cell

abc: 13.0724 3.5538 11.4381
angles: 90.00 93.91 90.00
Space group C2/m (No. 12)
Inequivalent atoms, fractional coordinates:
1 Tb 0.1326 0.0000 0.9996 [4 per cell]
2 Pm 0.1327 0.5000 0.5200 [4 per cell]
3 Ho 0.0088 0.0000 0.2729 [4 per cell]
4 Ho 0.2323 0.5000 0.2441 [4 per cell]

6.
A relaxed structure of NaTb2DyTe4, computed with PBE-GGA.

Results
Raw total energy ... -4.78 eV per atom
Size of the total moment ... 0.0 Bohr magnetons per cell

abc: 7.6374 4.3583 7.6406
angles: 90.00 108.90 90.00
Space group P2/m (No. 10)
Inequivalent atoms, fractional coordinates:
1 Na 0.0000 0.0000 0.0000 [1 per cell]
2 Tb 0.0000 0.5000 0.5000 [1 per cell]
3 Tb 0.5000 0.0000 0.5000 [1 per cell]
4 Dy 0.5000 0.5000 0.0000 [1 per cell]
5 Te 0.2506 0.0000 0.7515 [2 per cell]
6 Te 0.2526 0.5000 0.2515 [2 per cell]

7.
A relaxed structure of K2CuTc, computed with PBE-GGA.

Results
DFT formation energy ... 1303 meV per atom
Raw total energy ... -2.86 eV per atom
Size of the total moment ... 5.5 Bohr magnetons per cell

abc: 4.2366 4.2366 10.9882
angles: 90.00 90.00 90.00
Space group I4/mmm (No. 139)
Inequivalent atoms, fractional coordinates:
1 K 0.0000 0.5000 0.2500 [4 per cell]
2 Cu 0.0000 0.0000 0.0000 [2 per cell]
3 Tc 0.0000 0.0000 0.5000 [2 per cell]

8.
A relaxed structure of Pr3SmYHo, computed with PBE-GGA.

Results
DFT formation energy ... 18 meV per atom
Raw total energy ... -5.00 eV per atom
Size of the total moment ... 0.0 Bohr magnetons per cell

abc: 5.1570 15.5047 10.2940
angles: 90.00 90.00 90.00
Space group Cmcm (No. 63)
Inequivalent atoms, fractional coordinates:
1 Pr 0.0000 0.1652 0.0004 [8 per cell]
2 Pr 0.0000 0.3344 0.2500 [4 per cell]
3 Sm 0.0000 0.5000 0.0000 [4 per cell]
4 Y 0.0000 0.3353 0.7500 [4 per cell]
5 Ho 0.0000 0.0010 0.2500 [4 per cell]

Please write out number 6 again, unchanged.
A relaxed structure of NaTb2DyTe4, computed with PBE-GGA.

Results
Raw total energy ... -4.78 eV per atom
Size of the total moment ... 0.0 Bohr magnetons per cell

abc: 7.6374 4.3583 7.6406
angles: 90.00 108.90 90.00
Space group P2/m (No. 10)
Inequivalent atoms, fractional coordinates:
1 Na 0.0000 0.0000 0.0000 [1 per cell]
2 Tb 0.0000 0.5000 0.5000 [1 per cell]
3 Tb 0.5000 0.0000 0.5000 [1 per cell]
4 Dy 0.5000 0.5000 0.0000 [1 per cell]
5 Te 0.2506 0.0000 0.7515 [2 per cell]
6 Te 0.2526 0.5000 0.2515 [2 per cell]

Repeat the eighth record exactly.
A relaxed structure of Pr3SmYHo, computed with PBE-GGA.

Results
DFT formation energy ... 18 meV per atom
Raw total energy ... -5.00 eV per atom
Size of the total moment ... 0.0 Bohr magnetons per cell

abc: 5.1570 15.5047 10.2940
angles: 90.00 90.00 90.00
Space group Cmcm (No. 63)
Inequivalent atoms, fractional coordinates:
1 Pr 0.0000 0.1652 0.0004 [8 per cell]
2 Pr 0.0000 0.3344 0.2500 [4 per cell]
3 Sm 0.0000 0.5000 0.0000 [4 per cell]
4 Y 0.0000 0.3353 0.7500 [4 per cell]
5 Ho 0.0000 0.0010 0.2500 [4 per cell]

Question: The highest size of the total moment belongs to which entry?
Answer: K2CuTc